# KNi3B, optimized geometry, DFT GGA-PBE
# Energy of formation from the pure elements: 2812 meV/atom
data_KNi3B
_space_group_name_H-M_alt 'P 1'
_space_group_IT_number 1
_cell_length_a 4.4287
_cell_length_b 4.4287
_cell_length_c 4.4287
_cell_angle_alpha 90.00
_cell_angle_beta 90.00
_cell_angle_gamma 90.00
loop_
_space_group_symop_operation_xyz
'x,y,z'
loop_
_atom_site_label
_atom_site_fract_x
_atom_site_fract_y
_atom_site_fract_z
K1 0.0000 0.0000 0.0000
Ni1 0.0000 0.0000 0.5000
Ni2 0.0000 0.5000 0.0000
Ni3 0.5000 0.0000 0.0000
B1 0.5000 0.5000 0.5000

# SmAlHgPd, optimized geometry, DFT GGA-PBE
# Energy of formation from the pure elements: -531 meV/atom
data_SmAlHgPd
_space_group_name_H-M_alt 'P 1'
_space_group_IT_number 1
_cell_length_a 4.9023
_cell_length_b 4.9023
_cell_length_c 4.9023
_cell_angle_alpha 60.00
_cell_angle_beta 60.00
_cell_angle_gamma 60.00
loop_
_space_group_symop_operation_xyz
'x,y,z'
loop_
_atom_site_label
_atom_site_fract_x
_atom_site_fract_y
_atom_site_fract_z
Sm1 0.0000 0.0000 0.0000
Al1 0.5000 0.5000 0.5000
Hg1 0.7500 0.7500 0.7500
Pd1 0.2500 0.2500 0.2500

# LaHg2Pt2, optimized geometry, DFT GGA-PBE
# Energy of formation from the pure elements: -568 meV/atom
# Polymorph energy (0 for the lowest one): 0.0 meV/atom
data_LaHg2Pt2
_space_group_name_H-M_alt 'P 1'
_space_group_IT_number 1
_cell_length_a 7.2725
_cell_length_b 7.2725
_cell_length_c 7.2725
_cell_angle_alpha 146.82
_cell_angle_beta 146.82
_cell_angle_gamma 47.64
loop_
_space_group_symop_operation_xyz
'x,y,z'
loop_
_atom_site_label
_atom_site_fract_x
_atom_site_fract_y
_atom_site_fract_z
La1 0.0000 0.0000 0.0000
Hg1 0.2500 0.7500 0.5000
Hg2 0.7500 0.2500 0.5000
Pt1 0.4019 0.4019 0.0000
Pt2 0.5981 0.5981 0.0000

# Na2ZrSi2O7, optimized geometry, DFT GGA-PBE
# Uncorrected formation energy: -2744 meV/atom
data_Na2ZrSi2O7
_space_group_name_H-M_alt 'P 1'
_space_group_IT_number 1
_cell_length_a 5.5345
_cell_length_b 6.6643
_cell_length_c 9.0377
_cell_angle_alpha 70.47
_cell_angle_beta 88.28
_cell_angle_gamma 86.39
loop_
_space_group_symop_operation_xyz
'x,y,z'
loop_
_atom_site_label
_atom_site_fract_x
_atom_site_fract_y
_atom_site_fract_z
Na1 0.2356 0.3911 0.1098
Na2 0.2574 0.1568 0.5115
Na3 0.7426 0.8432 0.4885
Na4 0.7644 0.6089 0.8902
Zr1 0.2744 0.7921 0.2721
Zr2 0.7256 0.2079 0.7279
Si1 0.1924 0.5623 0.6651
Si2 0.2721 0.8508 0.8552
Si3 0.7279 0.1492 0.1448
Si4 0.8076 0.4377 0.3349
O1 0.0413 0.0096 0.7784
O2 0.0899 0.5039 0.3284
O3 0.2221 0.6140 0.8345
O4 0.2270 0.7801 0.5144
O5 0.3011 0.7855 0.0440
O6 0.3925 0.3736 0.6673
O7 0.4721 0.0726 0.2364
O8 0.5279 0.9274 0.7636
O9 0.6075 0.6264 0.3327
O10 0.6989 0.2145 0.9560
O11 0.7730 0.2199 0.4856
O12 0.7779 0.3860 0.1655
O13 0.9101 0.4961 0.6716
O14 0.9587 0.9904 0.2216

# NaCeSeO5, optimized geometry, DFT GGA-PBE
# Uncorrected formation energy: -1812 meV/atom
data_NaCeSeO5
_space_group_name_H-M_alt 'P 1'
_space_group_IT_number 1
_cell_length_a 6.2329
_cell_length_b 6.2329
_cell_length_c 8.0620
_cell_angle_alpha 106.74
_cell_angle_beta 106.74
_cell_angle_gamma 98.63
loop_
_space_group_symop_operation_xyz
'x,y,z'
loop_
_atom_site_label
_atom_site_fract_x
_atom_site_fract_y
_atom_site_fract_z
Na1 0.1800 0.8200 0.7500
Na2 0.8200 0.1800 0.2500
Ce1 0.5000 0.5000 0.0000
Ce2 0.5000 0.5000 0.5000
Se1 0.1545 0.8455 0.2500
Se2 0.8455 0.1545 0.7500
O1 0.1423 0.2145 0.8710
O2 0.2117 0.6928 0.4092
O3 0.2145 0.1423 0.3710
O4 0.3072 0.7883 0.0908
O5 0.4254 0.5746 0.7500
O6 0.5746 0.4254 0.2500
O7 0.6928 0.2117 0.9092
O8 0.7855 0.8577 0.6290
O9 0.7883 0.3072 0.5908
O10 0.8577 0.7855 0.1290

# KTiCuF6, optimized geometry, DFT GGA-PBE
# Uncorrected formation energy: -2774 meV/atom
data_KTiCuF6
_space_group_name_H-M_alt 'P 1'
_space_group_IT_number 1
_cell_length_a 5.6505
_cell_length_b 5.6505
_cell_length_c 10.6080
_cell_angle_alpha 90.00
_cell_angle_beta 90.00
_cell_angle_gamma 120.00
loop_
_space_group_symop_operation_xyz
'x,y,z'
loop_
_atom_site_label
_atom_site_fract_x
_atom_site_fract_y
_atom_site_fract_z
K1 0.0000 0.0000 0.0000
K2 0.0000 0.0000 0.5000
Ti1 0.3333 0.6667 0.2500
Ti2 0.6667 0.3333 0.7500
Cu1 0.3333 0.6667 0.7500
Cu2 0.6667 0.3333 0.2500
F1 0.0414 0.4037 0.1483
F2 0.0414 0.6377 0.3517
F3 0.3623 0.4037 0.3517
F4 0.3623 0.9586 0.1483
F5 0.4037 0.0414 0.6483
F6 0.4037 0.3623 0.8517
F7 0.5963 0.6377 0.1483
F8 0.5963 0.9586 0.3517
F9 0.6377 0.0414 0.8517
F10 0.6377 0.5963 0.6483
F11 0.9586 0.3623 0.6483
F12 0.9586 0.5963 0.8517

# Pr2S2Cl, optimized geometry, DFT GGA-PBE
# Uncorrected formation energy: -1899 meV/atom
# Polymorph energy (0 for the lowest one): 61.1 meV/atom
data_Pr2S2Cl
_space_group_name_H-M_alt 'P 1'
_space_group_IT_number 1
_cell_length_a 8.1304
_cell_length_b 8.1304
_cell_length_c 3.5448
_cell_angle_alpha 90.00
_cell_angle_beta 90.00
_cell_angle_gamma 146.40
loop_
_space_group_symop_operation_xyz
'x,y,z'
loop_
_atom_site_label
_atom_site_fract_x
_atom_site_fract_y
_atom_site_fract_z
Pr1 0.1564 0.8436 0.0000
Pr2 0.8436 0.1564 0.0000
S1 0.3200 0.6800 0.5000
S2 0.6800 0.3200 0.5000
Cl1 0.0000 0.0000 0.5000

ZnP2H15C5NO9: optimized geometry, GGA-PBE.

```
data_ZnP2H15C5NO9
_space_group_name_H-M_alt 'P 1'
_space_group_IT_number 1
_cell_length_a 10.4975
_cell_length_b 10.6848
_cell_length_c 11.7764
_cell_angle_alpha 90.00
_cell_angle_beta 90.00
_cell_angle_gamma 90.00
loop_
_space_group_symop_operation_xyz
'x,y,z'
loop_
_atom_site_label
_atom_site_fract_x
_atom_site_fract_y
_atom_site_fract_z
Zn1 0.0520 0.2012 0.1202
Zn2 0.4480 0.7988 0.6202
Zn3 0.5520 0.2988 0.8798
Zn4 0.9480 0.7012 0.3798
P1 0.0074 0.4239 0.3040
P2 0.1901 0.6557 0.5476
P3 0.3099 0.3443 0.0476
P4 0.4926 0.5761 0.8040
P5 0.5074 0.0761 0.6960
P6 0.6901 0.8443 0.4524
P7 0.8099 0.1557 0.9524
P8 0.9926 0.9239 0.1960
H1 0.0146 0.2950 0.4572
H2 0.0331 0.5384 0.0183
H3 0.0442 0.8790 0.6222
H4 0.0451 0.5024 0.8114
H5 0.0486 0.9687 0.8711
H6 0.0738 0.1731 0.7899
H7 0.1351 0.8384 0.8112
H8 0.1363 0.0258 0.4841
H9 0.1643 0.3174 0.6420
H10 0.2127 0.5366 0.3917
H11 0.2184 0.9613 0.8832
H12 0.2382 0.9796 0.6860
H13 0.2424 0.4440 0.2050
H14 0.2445 0.1661 0.7908
H15 0.2452 0.8083 0.0830
H16 0.2548 0.1917 0.5830
H17 0.2555 0.8339 0.2908
H18 0.2576 0.5560 0.7050
H19 0.2618 0.0204 0.1860
H20 0.2816 0.0387 0.3832
H21 0.2873 0.4634 0.8917
H22 0.3357 0.6826 0.1420
H23 0.3637 0.9742 0.9841
H24 0.3649 0.1616 0.3112
H25 0.4262 0.8269 0.2899
H26 0.4514 0.0313 0.3711
H27 0.4549 0.4976 0.3114
H28 0.4558 0.1210 0.1222
H29 0.4669 0.4616 0.5183
H30 0.4854 0.7050 0.9572
H31 0.5146 0.2050 0.5428
H32 0.5331 0.9616 0.9817
H33 0.5442 0.6210 0.3778
H34 0.5451 0.9976 0.1886
H35 0.5486 0.5313 0.1289
H36 0.5738 0.3269 0.2101
H37 0.6351 0.6616 0.1888
H38 0.6363 0.4742 0.5159
H39 0.6643 0.1826 0.3580
H40 0.7127 0.9634 0.6083
H41 0.7184 0.5387 0.1168
H42 0.7382 0.5204 0.3140
H43 0.7424 0.0560 0.7950
H44 0.7445 0.3339 0.2092
H45 0.7452 0.6917 0.9170
H46 0.7548 0.3083 0.4170
H47 0.7555 0.6661 0.7092
H48 0.7576 0.9440 0.2950
H49 0.7618 0.4796 0.8140
H50 0.7816 0.4613 0.6168
H51 0.7873 0.0366 0.1083
H52 0.8357 0.8174 0.8580
H53 0.8637 0.5258 0.0159
H54 0.8649 0.3384 0.6888
H55 0.9262 0.6731 0.7101
H56 0.9514 0.4687 0.6289
H57 0.9549 0.0024 0.6886
H58 0.9558 0.3790 0.8778
H59 0.9669 0.0384 0.4817
H60 0.9854 0.7950 0.0428
C1 0.0421 0.9792 0.6419
C2 0.0521 0.0547 0.5334
C3 0.1366 0.9389 0.8295
C4 0.1585 0.1474 0.7405
C5 0.1659 0.2159 0.6277
C6 0.3341 0.7841 0.1277
C7 0.3415 0.8526 0.2405
C8 0.3634 0.0611 0.3295
C9 0.4479 0.9453 0.0334
C10 0.4579 0.0208 0.1419
C11 0.5421 0.5208 0.3581
C12 0.5521 0.4453 0.4666
C13 0.6366 0.5611 0.1705
C14 0.6585 0.3526 0.2595
C15 0.6659 0.2841 0.3723
C16 0.8341 0.7159 0.8723
C17 0.8415 0.6474 0.7595
C18 0.8634 0.4389 0.6705
C19 0.9479 0.5547 0.9666
C20 0.9579 0.4792 0.8581
N1 0.1510 0.0083 0.7205
N2 0.3490 0.9917 0.2205
N3 0.6510 0.4917 0.2795
N4 0.8490 0.5083 0.7795
O1 0.0292 0.8335 0.2917
O2 0.0334 0.8670 0.0752
O3 0.0511 0.6842 0.5187
O4 0.0579 0.1867 0.5567
O5 0.0774 0.0421 0.2039
O6 0.1512 0.4522 0.3060
O7 0.1849 0.5540 0.6460
O8 0.2346 0.2296 0.0871
O9 0.2364 0.4022 0.9432
O10 0.2636 0.5978 0.4432
O11 0.2654 0.7704 0.5871
O12 0.3151 0.4460 0.1460
O13 0.3488 0.5478 0.8060
O14 0.4226 0.9579 0.7039
O15 0.4421 0.8133 0.0567
O16 0.4489 0.3158 0.0187
O17 0.4666 0.1330 0.5752
O18 0.4708 0.1665 0.7917
O19 0.5292 0.6665 0.7083
O20 0.5334 0.6330 0.9248
O21 0.5511 0.8158 0.4813
O22 0.5579 0.3133 0.4433
O23 0.5774 0.4579 0.7961
O24 0.6512 0.0478 0.6940
O25 0.6849 0.9460 0.3540
O26 0.7346 0.2704 0.9129
O27 0.7364 0.0978 0.0568
O28 0.7636 0.9022 0.5568
O29 0.7654 0.7296 0.4129
O30 0.8151 0.0540 0.8540
O31 0.8488 0.9522 0.1940
O32 0.9226 0.5421 0.2961
O33 0.9421 0.6867 0.9433
O34 0.9489 0.1842 0.9813
O35 0.9666 0.3670 0.4248
O36 0.9708 0.3335 0.2083
```

# SbIrOs2, optimized geometry, DFT GGA-PBE
# Uncorrected formation energy: 1050 meV/atom
data_SbIrOs2
_space_group_name_H-M_alt 'P 1'
_space_group_IT_number 1
_cell_length_a 6.9862
_cell_length_b 6.9862
_cell_length_c 6.9862
_cell_angle_alpha 130.87
_cell_angle_beta 130.87
_cell_angle_gamma 72.02
loop_
_space_group_symop_operation_xyz
'x,y,z'
loop_
_atom_site_label
_atom_site_fract_x
_atom_site_fract_y
_atom_site_fract_z
Sb1 0.0000 0.0000 0.0000
Sb2 0.7500 0.2500 0.5000
Ir1 0.2500 0.7500 0.5000
Ir2 0.5000 0.5000 0.0000
Os1 0.1567 0.6250 0.0317
Os2 0.3750 0.4067 0.5317
Os3 0.5933 0.1250 0.9683
Os4 0.8750 0.8433 0.4683

no.,electronic total energy (eV per atom)
1,-2.21
2,-4.02
3,-4.09
4,-7.47
5,-6.25
6,-5.48
7,-5.83
8,-5.79
9,-7.81